Record 1
PBE-GGA CePuMnNi, optimized geometry; calculated formation energy = 1.338 kcal/mol of atoms; theoretical density = 12.1 g cm⁻³
1.0
4.594 0.000 0.000
2.297 3.978 0.000
2.297 1.326 3.751
Pu Ni Mn Ce
1 1 1 1
direct
0.000 0.000 0.000 Pu
0.250 0.250 0.250 Ni
0.500 0.500 0.500 Mn
0.750 0.750 0.750 Ce



Record 2
PBE-GGA CeMnNiS3, optimized geometry; theoretical density = 5.3 g cm⁻³; ΔE_f (raw) = -1.101 eV per atom
1.0
3.747 0.000 0.000
0.000 7.354 0.003
0.000 -1.949 7.930
Ce S Mn Ni
2 6 2 2
direct
0.750 0.806 0.751 Ce
0.250 0.194 0.249 Ce
0.750 0.232 0.521 S
0.250 0.095 0.868 S
0.250 0.768 0.479 S
0.750 0.433 0.153 S
0.250 0.567 0.847 S
0.750 0.905 0.132 S
0.750 0.326 0.833 Mn
0.250 0.674 0.167 Mn
0.250 0.094 0.593 Ni
0.750 0.906 0.407 Ni



Record 3
PBE-GGA CeScMnNi, optimized geometry; calculated formation energy = -1.477 kcal/mol of atoms; theoretical density = 7.0 g cm⁻³
1.0
-3.339 -3.135 0.740
0.064 -2.593 3.847
-3.152 0.711 3.329
Ce Mn Sc Ni
1 1 1 1
direct
0.750 0.750 0.750 Ce
0.500 0.500 0.500 Mn
0.250 0.250 0.250 Sc
0.000 0.000 0.000 Ni



Record 4
PBE-GGA Ce2MnSi3Ni12, optimized geometry; theoretical density = 7.7 g cm⁻³; ΔE_f (raw) = -0.178 eV per atom
1.0
-1.017 5.971 -1.613
-3.867 1.344 4.747
4.362 2.479 3.758
Ni Si Ce Mn
12 3 2 1
direct
0.910 0.382 0.382 Ni
0.193 0.693 0.193 Ni
0.693 0.193 0.193 Ni
0.382 0.382 0.910 Ni
0.807 0.307 0.807 Ni
0.193 0.193 0.693 Ni
0.307 0.807 0.807 Ni
0.618 0.618 0.090 Ni
0.618 0.090 0.618 Ni
0.090 0.618 0.618 Ni
0.807 0.807 0.307 Ni
0.382 0.910 0.382 Ni
0.000 0.500 0.000 Si
0.000 0.000 0.500 Si
0.500 0.000 0.000 Si
0.652 0.652 0.652 Ce
0.348 0.348 0.348 Ce
0.000 0.000 0.000 Mn



Record 5
PBE-GGA CeMnSi2Ni, optimized geometry; theoretical density = 6.6 g cm⁻³; ΔE_f (raw) = -0.662 eV per atom
1.0
-0.558 -2.855 -2.728
-2.207 -2.059 2.607
-2.639 4.759 -1.525
Mn Ni Si Ce
1 1 2 1
direct
0.750 0.250 0.500 Mn
0.250 0.750 0.500 Ni
0.370 0.370 0.741 Si
0.630 0.630 0.259 Si
0.000 0.000 0.000 Ce



Record 6
PBE-GGA Ce3MnSi6Ni2, optimized geometry; theoretical density = 5.9 g cm⁻³; ΔE_f (raw) = -0.381 eV per atom
1.0
5.846 0.000 0.000
-2.923 5.063 0.000
0.000 0.000 7.246
Si Ce Mn Ni
6 3 1 2
direct
0.193 0.807 0.322 Si
0.193 0.386 0.322 Si
0.386 0.193 0.678 Si
0.614 0.807 0.322 Si
0.807 0.193 0.678 Si
0.807 0.614 0.678 Si
0.000 0.000 0.000 Ce
0.333 0.667 0.689 Ce
0.667 0.333 0.311 Ce
0.000 0.000 0.500 Mn
0.667 0.333 0.933 Ni
0.333 0.667 0.067 Ni



Record 7
PBE-GGA CeUMnNi, optimized geometry; calculated formation energy = 0.312 kcal/mol of atoms; theoretical density = 12.5 g cm⁻³
1.0
-2.377 -3.216 2.113
1.209 -4.339 -0.404
1.793 -2.186 3.530
Mn U Ni Ce
1 1 1 1
direct
0.000 0.000 0.000 Mn
0.750 0.750 0.750 U
0.250 0.250 0.250 Ni
0.500 0.500 0.500 Ce



Record 8
PBE-GGA Ce2MnZn3Ni12, optimized geometry; calculated formation energy = 2.340 kcal/mol of atoms; theoretical density = 7.7 g cm⁻³
1.0
0.803 -8.819 1.316
6.189 -6.076 2.219
1.870 -5.824 6.537
Mn Ni Zn Ce
1 12 3 2
direct
0.000 0.000 0.000 Mn
0.577 0.190 0.577 Ni
0.577 0.577 0.190 Ni
0.080 0.639 0.080 Ni
0.810 0.423 0.423 Ni
0.423 0.810 0.423 Ni
0.920 0.361 0.920 Ni
0.920 0.920 0.361 Ni
0.423 0.423 0.810 Ni
0.361 0.920 0.920 Ni
0.639 0.080 0.080 Ni
0.080 0.080 0.639 Ni
0.190 0.577 0.577 Ni
0.000 0.500 0.000 Zn
0.500 0.000 0.000 Zn
0.000 0.000 0.500 Zn
0.656 0.656 0.656 Ce
0.344 0.344 0.344 Ce



no.,DOS(E_F) (states/eV/atom)
1,1.881
2,0.713
3,0.892
4,0.594
5,0.995
6,1.346
7,2.071
8,0.900